(1)
VASP calculation (GGA-PBEsol) on a relaxed InSb3Pd crystal.

Computed properties:
total energy = -0.1550 hartree per atom
density of states at the Fermi level = 0.935 states/eV per atom
crystal system = cubic
E_form (uncorrected) = 0.31 eV/atom

Cell: 5.192 5.192 5.192 Å, 90.00 90.00 90.00°
Fractional coordinates of all 5 atoms:
Sb 0.000 0.500 0.000
Sb 0.000 0.000 0.500
Sb 0.500 0.000 0.000
Pd 0.000 0.000 0.000
In 0.500 0.500 0.500



(2)
VASP calculation (GGA-PBEsol) on a relaxed InSiSbPd2 crystal.

Computed properties:
total energy = -0.1490 hartree per atom
density of states at the Fermi level = 0.382 states/eV per atom
crystal system = tetragonal
E_form (uncorrected) = 0.99 eV/atom

Cell: 4.868 4.868 5.394 Å, 90.00 90.00 90.00°
Fractional coordinates of all 5 atoms:
Sb 0.000 0.000 0.500
Si 0.500 0.500 0.500
Pd 0.000 0.500 0.000
Pd 0.500 0.000 0.000
In 0.000 0.000 0.000



(3)
VASP calculation (GGA-PBEsol) on a relaxed InSbPdW2 crystal.

Computed properties:
total energy = -0.2133 hartree per atom
density of states at the Fermi level = 1.142 states/eV per atom
crystal system = tetragonal
E_form (uncorrected) = 2.42 eV/atom

Cell: 4.861 4.861 5.233 Å, 90.00 90.00 90.00°
Fractional coordinates of all 5 atoms:
Sb 0.000 0.000 0.000
Pd 0.500 0.500 0.500
W 0.000 0.500 0.000
W 0.500 0.000 0.000
In 0.000 0.000 0.500



(4)
VASP calculation (GGA-PBEsol) on a relaxed ScInPd2 crystal.

Computed properties:
total energy = -0.2258 hartree per atom
density of states at the Fermi level = 0.542 states/eV per atom
crystal system = tetragonal
formation energy from the elements = -0.768 eV/atom

Cell: 3.290 3.290 6.352 Å, 90.00 90.00 90.00°
Fractional coordinates of all 4 atoms:
Sc 0.000 0.000 0.500
Pd 0.500 0.500 0.256
Pd 0.500 0.500 0.744
In 0.000 0.000 0.000



(5)
VASP calculation (GGA-PBEsol) on a relaxed Sc2InPd2 crystal.

Computed properties:
total energy = -0.2267 hartree per atom
density of states at the Fermi level = 0.578 states/eV per atom
crystal system = tetragonal
formation energy from the elements = -0.547 eV/atom

Cell: 5.029 5.354 5.029 Å, 118.01 90.00 118.01°
Fractional coordinates of all 5 atoms:
Sc 0.250 0.500 0.750
Sc 0.750 0.500 0.250
Pd 0.347 0.694 0.347
Pd 0.653 0.306 0.653
In 0.000 0.000 0.000



(6)
VASP calculation (GGA-PBEsol) on a relaxed ScInPd2 crystal.

Computed properties:
total energy = -0.2290 hartree per atom
density of states at the Fermi level = 0.512 states/eV per atom
crystal system = cubic
formation energy from the elements = -0.854 eV/atom

Cell: 4.580 4.580 4.580 Å, 60.00 60.00 60.00°
Fractional coordinates of all 4 atoms:
Sc 0.500 0.500 0.500
Pd 0.250 0.250 0.250
Pd 0.750 0.750 0.750
In 0.000 0.000 0.000



(7)
VASP calculation (GGA-PBEsol) on a relaxed In4Pd17Se4 crystal.

Computed properties:
total energy = -0.2046 hartree per atom
density of states at the Fermi level = 0.464 states/eV per atom
crystal system = tetragonal
E_form (uncorrected) = -0.42 eV/atom

Cell: 3.964 10.291 10.291 Å, 87.87 78.89 78.89°
Fractional coordinates of all 25 atoms:
In 0.338 0.045 0.278
In 0.662 0.955 0.722
In 0.616 0.722 0.045
In 0.384 0.278 0.955
Pd 0.184 0.069 0.563
Pd 0.816 0.931 0.437
Pd 0.747 0.437 0.069
Pd 0.253 0.563 0.931
Pd 0.227 0.318 0.228
Pd 0.773 0.682 0.772
Pd 0.455 0.772 0.318
Pd 0.545 0.228 0.682
Pd 0.698 0.210 0.394
Pd 0.302 0.790 0.606
Pd 0.092 0.606 0.210
Pd 0.908 0.394 0.790
Pd 0.021 0.116 0.842
Pd 0.979 0.884 0.158
Pd 0.863 0.158 0.116
Pd 0.137 0.842 0.884
Pd 0.500 0.000 0.000
Se 0.069 0.309 0.552
Se 0.931 0.691 0.448
Se 0.622 0.448 0.309
Se 0.378 0.552 0.691



(8)
VASP calculation (GGA-PBEsol) on a relaxed InPd5Se crystal.

Computed properties:
total energy = -0.2066 hartree per atom
density of states at the Fermi level = 0.453 states/eV per atom
crystal system = tetragonal
E_form (uncorrected) = -0.39 eV/atom

Cell: 4.006 4.006 7.007 Å, 90.00 90.00 90.00°
Fractional coordinates of all 7 atoms:
Pd 0.000 0.500 0.282
Pd 0.000 0.500 0.718
Pd 0.500 0.000 0.282
Pd 0.500 0.000 0.718
Pd 0.000 0.000 0.000
Se 0.000 0.000 0.500
In 0.500 0.500 0.000



(9)
VASP calculation (GGA-PBEsol) on a relaxed InPdSe2 crystal.

Computed properties:
total energy = -0.1599 hartree per atom
density of states at the Fermi level = 0.449 states/eV per atom
crystal system = trigonal
E_form (uncorrected) = -0.19 eV/atom

Cell: 3.636 3.636 8.731 Å, 77.98 77.98 60.00°
Fractional coordinates of all 4 atoms:
Se 0.886 0.886 0.341
Se 0.114 0.114 0.659
Pd 0.500 0.500 0.500
In 0.000 0.000 0.000



(10)
VASP calculation (GGA-PBEsol) on a relaxed In2Pd8Se crystal.

Computed properties:
total energy = -0.2078 hartree per atom
density of states at the Fermi level = 0.277 states/eV per atom
crystal system = tetragonal
E_form (uncorrected) = -0.43 eV/atom

Cell: 3.991 3.991 10.943 Å, 90.00 90.00 90.00°
Fractional coordinates of all 11 atoms:
In 0.500 0.500 0.823
In 0.500 0.500 0.177
Pd 0.500 0.000 0.000
Pd 0.000 0.500 0.000
Pd 0.500 0.000 0.640
Pd 0.000 0.500 0.640
Pd 0.500 0.000 0.360
Pd 0.000 0.500 0.360
Pd 0.000 0.000 0.820
Pd 0.000 0.000 0.180
Se 0.000 0.000 0.500



(11)
VASP calculation (GGA-PBEsol) on a relaxed InSiPd3 crystal.

Computed properties:
total energy = -0.2017 hartree per atom
density of states at the Fermi level = 0.288 states/eV per atom
crystal system = cubic
E_form (uncorrected) = -0.17 eV/atom

Cell: 4.470 4.470 4.470 Å, 90.00 90.00 90.00°
Fractional coordinates of all 5 atoms:
Si 0.000 0.000 0.000
Pd 0.000 0.500 0.000
Pd 0.000 0.000 0.500
Pd 0.500 0.000 0.000
In 0.500 0.500 0.500



(12)
VASP calculation (GGA-PBEsol) on a relaxed Sm2In8Pd crystal.

Computed properties:
total energy = -0.1520 hartree per atom
density of states at the Fermi level = 0.412 states/eV per atom
crystal system = tetragonal
formation energy from the elements = -0.499 eV/atom

Cell: 4.630 4.630 11.966 Å, 90.00 90.00 90.00°
Fractional coordinates of all 11 atoms:
Sm 0.000 0.000 0.689
Sm 0.000 0.000 0.311
In 0.500 0.000 0.875
In 0.000 0.500 0.875
In 0.500 0.000 0.125
In 0.000 0.500 0.125
In 0.500 0.000 0.500
In 0.000 0.500 0.500
In 0.500 0.500 0.691
In 0.500 0.500 0.309
Pd 0.000 0.000 0.000



(13)
VASP calculation (GGA-PBEsol) on a relaxed SmInPd crystal.

Computed properties:
total energy = -0.2022 hartree per atom
density of states at the Fermi level = 0.802 states/eV per atom
crystal system = hexagonal
formation energy from the elements = -0.824 eV/atom

Cell: 3.904 7.618 7.618 Å, 120.00 90.00 90.00°
Fractional coordinates of all 9 atoms:
Sm 0.500 0.410 0.410
Sm 0.500 0.000 0.590
Sm 0.500 0.590 0.000
In 0.000 0.745 0.745
In 0.000 0.000 0.255
In 0.000 0.255 0.000
Pd 0.500 0.000 0.000
Pd 0.000 0.667 0.333
Pd 0.000 0.333 0.667



(14)
VASP calculation (GGA-PBEsol) on a relaxed Sm2InPd2 crystal.

Computed properties:
total energy = -0.2149 hartree per atom
density of states at the Fermi level = 0.582 states/eV per atom
crystal system = tetragonal
formation energy from the elements = -0.831 eV/atom

Cell: 3.755 7.676 7.676 Å, 90.00 90.00 90.00°
Fractional coordinates of all 10 atoms:
Sm 0.500 0.326 0.826
Sm 0.500 0.826 0.674
Sm 0.500 0.174 0.326
Sm 0.500 0.674 0.174
In 0.000 0.000 0.000
In 0.000 0.500 0.500
Pd 0.000 0.373 0.127
Pd 0.000 0.873 0.373
Pd 0.000 0.127 0.627
Pd 0.000 0.627 0.873



(15)
VASP calculation (GGA-PBEsol) on a relaxed SrIn2Pd2 crystal.

Computed properties:
total energy = -0.1652 hartree per atom
density of states at the Fermi level = 0.464 states/eV per atom
crystal system = tetragonal
formation energy from the elements = -0.550 eV/atom

Cell: 4.839 4.839 6.049 Å, 113.57 113.57 90.00°
Fractional coordinates of all 5 atoms:
Sr 0.000 0.000 0.000
Pd 0.250 0.750 0.500
Pd 0.750 0.250 0.500
In 0.357 0.357 0.713
In 0.643 0.643 0.287



(16)
VASP calculation (GGA-PBEsol) on a relaxed Sr3InPd crystal.

Computed properties:
total energy = -0.0941 hartree per atom
density of states at the Fermi level = 0.735 states/eV per atom
crystal system = cubic
formation energy from the elements = 0.333 eV/atom

Cell: 6.078 6.078 6.078 Å, 90.00 90.00 90.00°
Fractional coordinates of all 5 atoms:
Sr 0.000 0.500 0.000
Sr 0.000 0.000 0.500
Sr 0.500 0.000 0.000
Pd 0.500 0.500 0.500
In 0.000 0.000 0.000



(17)
VASP calculation (GGA-PBEsol) on a relaxed SrInPd crystal.

Computed properties:
total energy = -0.1561 hartree per atom
density of states at the Fermi level = 0.566 states/eV per atom
crystal system = orthorhombic
formation energy from the elements = -0.654 eV/atom

Cell: 4.532 7.518 8.455 Å, 90.00 90.00 90.00°
Fractional coordinates of all 12 atoms:
Sr 0.250 0.468 0.678
Sr 0.750 0.032 0.178
Sr 0.250 0.968 0.822
Sr 0.750 0.532 0.322
Pd 0.750 0.778 0.624
Pd 0.250 0.222 0.376
Pd 0.250 0.722 0.124
Pd 0.750 0.278 0.876
In 0.750 0.644 0.937
In 0.750 0.144 0.563
In 0.250 0.856 0.437
In 0.250 0.356 0.063



(18)
VASP calculation (GGA-PBEsol) on a relaxed TaIn3Pd crystal.

Computed properties:
total energy = -0.1619 hartree per atom
density of states at the Fermi level = 0.675 states/eV per atom
crystal system = cubic
formation energy from the elements = 1.087 eV/atom

Cell: 5.245 5.245 5.245 Å, 90.00 90.00 90.00°
Fractional coordinates of all 5 atoms:
In 0.000 0.500 0.000
In 0.000 0.000 0.500
In 0.500 0.000 0.000
Pd 0.500 0.500 0.500
Ta 0.000 0.000 0.000



(19)
VASP calculation (GGA-PBEsol) on a relaxed TbInPd2 crystal.

Computed properties:
total energy = -0.2131 hartree per atom
density of states at the Fermi level = 0.527 states/eV per atom
crystal system = cubic
formation energy from the elements = -0.821 eV/atom

Cell: 4.732 4.732 4.732 Å, 60.00 60.00 60.00°
Fractional coordinates of all 4 atoms:
Tb 0.500 0.500 0.500
Pd 0.250 0.250 0.250
Pd 0.750 0.750 0.750
In 0.000 0.000 0.000



(20)
VASP calculation (GGA-PBEsol) on a relaxed Tb11In9Pd4 crystal.

Computed properties:
total energy = -0.1882 hartree per atom
density of states at the Fermi level = 0.557 states/eV per atom
crystal system = orthorhombic
formation energy from the elements = -0.713 eV/atom

Cell: 3.629 13.033 13.033 Å, 112.73 90.00 90.00°
Fractional coordinates of all 24 atoms:
Tb 0.000 0.414 0.071
Tb 0.000 0.586 0.929
Tb 0.000 0.071 0.414
Tb 0.000 0.929 0.586
Tb 0.000 0.161 0.839
Tb 0.000 0.839 0.161
Tb 0.000 0.372 0.628
Tb 0.000 0.628 0.372
Tb 0.000 0.308 0.308
Tb 0.000 0.692 0.692
Tb 0.000 0.000 0.000
In 0.500 0.367 0.841
In 0.500 0.633 0.159
In 0.500 0.841 0.367
In 0.500 0.159 0.633
In 0.500 0.216 0.074
In 0.500 0.784 0.926
In 0.500 0.074 0.216
In 0.500 0.926 0.784
In 0.500 0.500 0.500
Pd 0.500 0.449 0.246
Pd 0.500 0.551 0.754
Pd 0.500 0.246 0.449
Pd 0.500 0.754 0.551